--- w ---
The following is a DFT calculation (GGA-PBE) of a relaxed structure of SrNbPO.

a = 4.274 Å, b = 6.853 Å, c = 6.130 Å
α = 90.00°, β = 90.00°, γ = 90.00°
Atoms (fractional coordinates):
Nb (0.500, 0.395, 0.025)
Nb (0.500, 0.605, 0.525)
P (0.000, 0.755, 0.435)
P (0.000, 0.245, 0.935)
Sr (0.000, 0.799, 0.944)
Sr (0.000, 0.201, 0.444)
O (0.500, 0.649, 0.850)
O (0.500, 0.351, 0.350)

Calculated values
volume: 90 Å³/f.u.
crystal system: orthorhombic
mass density: 4.21 g/cm3

--- x ---
The following is a DFT calculation (GGA-PBE) of a relaxed structure of SrNbPO.

a = 4.254 Å, b = 4.254 Å, c = 9.436 Å
α = 90.00°, β = 90.00°, γ = 90.00°
Atoms (fractional coordinates):
P (0.750, 0.750, 0.360)
P (0.250, 0.250, 0.640)
Nb (0.750, 0.250, 0.500)
Nb (0.250, 0.750, 0.500)
Sr (0.250, 0.250, 0.113)
Sr (0.750, 0.750, 0.887)
O (0.750, 0.250, 0.000)
O (0.250, 0.750, 0.000)

Calculated values
volume: 85 Å³/f.u.
crystal system: tetragonal
mass density: 4.43 g/cm3

--- y ---
The following is a DFT calculation (GGA-PBE) of a relaxed structure of SrNbPO.

a = 4.403 Å, b = 4.403 Å, c = 8.895 Å
α = 90.00°, β = 90.00°, γ = 90.00°
Atoms (fractional coordinates):
P (0.250, 0.250, 0.717)
P (0.750, 0.750, 0.283)
Sr (0.250, 0.750, 0.500)
Sr (0.750, 0.250, 0.500)
Nb (0.750, 0.750, 0.019)
Nb (0.250, 0.250, 0.981)
O (0.250, 0.750, 0.000)
O (0.750, 0.250, 0.000)

Calculated values
volume: 86 Å³/f.u.
crystal system: tetragonal
mass density: 4.38 g/cm3

The data favor w; the next most stable structure lies 0.069 eV/atom above it.

--- w ---
The following is a DFT calculation (GGA-PBE) of a relaxed structure of TbNbPO.

a = 3.947 Å, b = 3.947 Å, c = 8.766 Å
α = 90.00°, β = 90.00°, γ = 90.00°
Atoms (fractional coordinates):
P (0.250, 0.250, 0.688)
P (0.750, 0.750, 0.312)
O (0.750, 0.250, 0.000)
O (0.250, 0.750, 0.000)
Tb (0.250, 0.250, 0.126)
Tb (0.750, 0.750, 0.874)
Nb (0.250, 0.750, 0.500)
Nb (0.750, 0.250, 0.500)

Calculated values
volume: 68 Å³/f.u.
crystal system: tetragonal
mass density: 7.27 g/cm3

--- x ---
The following is a DFT calculation (GGA-PBE) of a relaxed structure of TbNbPO.

a = 4.160 Å, b = 4.160 Å, c = 7.522 Å
α = 90.00°, β = 90.00°, γ = 90.00°
Atoms (fractional coordinates):
Nb (0.750, 0.750, 0.898)
Nb (0.250, 0.250, 0.102)
O (0.250, 0.750, 0.000)
O (0.750, 0.250, 0.000)
P (0.750, 0.750, 0.252)
P (0.250, 0.250, 0.748)
Tb (0.750, 0.250, 0.500)
Tb (0.250, 0.750, 0.500)

Calculated values
volume: 65 Å³/f.u.
crystal system: tetragonal
mass density: 7.62 g/cm3

The data favor w; the next most stable structure lies 1.161 eV/atom above it.

--- w ---
The following is a DFT calculation (GGA-PBE) of a relaxed structure of NbTlP2O8.

a = 5.019 Å, b = 5.019 Å, c = 8.247 Å
α = 87.15°, β = 87.11°, γ = 63.07°
Atoms (fractional coordinates):
O (0.303, 0.776, 0.168)
O (0.780, 0.780, 0.079)
O (0.220, 0.220, 0.921)
O (0.776, 0.303, 0.168)
O (0.686, 0.687, 0.381)
O (0.697, 0.224, 0.832)
O (0.224, 0.697, 0.832)
O (0.314, 0.313, 0.619)
P (0.360, 0.360, 0.790)
P (0.640, 0.640, 0.210)
Nb (0.000, 0.000, 0.000)
Tl (0.000, 0.000, 0.500)

Calculated values
volume: 185 Å³/f.u.
crystal system: monoclinic
mass density: 4.38 g/cm3

--- x ---
The following is a DFT calculation (GGA-PBE) of a relaxed structure of NbTlP2O8.

a = 5.004 Å, b = 12.842 Å, c = 11.786 Å
α = 90.00°, β = 111.26°, γ = 90.00°
Atoms (fractional coordinates):
O (0.861, 0.556, 0.801)
O (0.760, 0.170, 0.875)
O (0.102, 0.399, 0.981)
O (0.942, 0.554, 0.361)
O (0.240, 0.670, 0.625)
O (0.240, 0.830, 0.125)
O (0.058, 0.054, 0.139)
O (0.898, 0.601, 0.019)
O (0.585, 0.797, 0.346)
O (0.349, 0.298, 0.829)
O (0.585, 0.703, 0.846)
O (0.452, 0.984, 0.370)
O (0.255, 0.840, 0.747)
O (0.745, 0.340, 0.753)
O (0.139, 0.444, 0.199)
O (0.651, 0.798, 0.671)
O (0.255, 0.660, 0.247)
O (0.760, 0.330, 0.375)
O (0.058, 0.446, 0.639)
O (0.415, 0.203, 0.654)
O (0.861, 0.944, 0.301)
O (0.102, 0.101, 0.481)
O (0.548, 0.016, 0.630)
O (0.745, 0.160, 0.253)
O (0.651, 0.702, 0.171)
O (0.452, 0.516, 0.870)
O (0.139, 0.056, 0.699)
O (0.349, 0.202, 0.329)
O (0.415, 0.297, 0.154)
O (0.942, 0.946, 0.861)
O (0.898, 0.899, 0.519)
O (0.548, 0.484, 0.130)
Nb (0.899, 0.572, 0.206)
Nb (0.899, 0.928, 0.706)
Nb (0.101, 0.072, 0.294)
Nb (0.101, 0.428, 0.794)
Tl (0.710, 0.886, 0.022)
Tl (0.290, 0.114, 0.978)
Tl (0.710, 0.614, 0.522)
Tl (0.290, 0.386, 0.478)
P (0.292, 0.089, 0.612)
P (0.587, 0.249, 0.289)
P (0.413, 0.749, 0.211)
P (0.708, 0.911, 0.388)
P (0.292, 0.411, 0.112)
P (0.413, 0.751, 0.711)
P (0.708, 0.589, 0.888)
P (0.587, 0.251, 0.789)

Calculated values
volume: 176 Å³/f.u.
crystal system: monoclinic
mass density: 4.59 g/cm3

The data favor w; the next most stable structure lies 0.016 eV/atom above it.

--- w ---
The following is a DFT calculation (GGA-PBE) of a relaxed structure of ZrNbPO.

a = 3.778 Å, b = 3.778 Å, c = 8.373 Å
α = 90.00°, β = 90.00°, γ = 90.00°
Atoms (fractional coordinates):
Nb (0.000, 0.000, 0.500)
Nb (0.500, 0.500, 0.500)
P (0.500, 0.000, 0.287)
P (0.000, 0.500, 0.713)
O (0.500, 0.500, 0.000)
O (0.000, 0.000, 0.000)
Zr (0.000, 0.500, 0.144)
Zr (0.500, 0.000, 0.856)

Calculated values
volume: 60 Å³/f.u.
crystal system: tetragonal
mass density: 6.42 g/cm3

--- x ---
The following is a DFT calculation (GGA-PBE) of a relaxed structure of ZrNbPO.

a = 3.469 Å, b = 5.911 Å, c = 6.223 Å
α = 90.00°, β = 90.00°, γ = 90.00°
Atoms (fractional coordinates):
Zr (0.500, 0.085, 0.425)
Zr (0.500, 0.915, 0.925)
O (0.000, 0.726, 0.922)
O (0.000, 0.274, 0.422)
Nb (0.000, 0.402, 0.101)
Nb (0.000, 0.598, 0.601)
P (0.500, 0.331, 0.806)
P (0.500, 0.669, 0.306)

Calculated values
volume: 64 Å³/f.u.
crystal system: orthorhombic
mass density: 6.02 g/cm3

The data favor w; the next most stable structure lies 0.092 eV/atom above it.